{
  "formula": "MoPdPt4",
  "functional": "PBE",
  "state": "optimized geometry",
  "lattice": [[-1.435, -3.672, -2.832], [4.730, 0.797, 0.747], [1.010, -3.730, 2.916]],
  "species": ["Mo", "Pd", "Pt", "Pt", "Pt", "Pt"],
  "fractional_positions": [[0.498, 0.003, 0.001], [0.998, 0.503, 0.501], [0.336, 0.165, 0.501], [0.660, 0.841, 0.501], [0.832, 0.669, 0.001], [0.164, 0.337, 0.001]],
  "spacegroup": "C2/m, No. 12",
  "final_energy_ev_per_atom": -6.900,
  "total_magnetization_mub_per_cell": 0.0
}